(1)
The following is a PBEsol calculation of an optimized crystal structure of HfMnF6, from Alexandria via LeMat-Bulk.

It has space group Fm-3m (No. 225), with a = 8.1640 Å, b = 8.1640 Å, c = 8.1640 Å, α = 90.00°, β = 90.00° and γ = 90.00°. The distinct sites, in fractional coordinates, are Hf at (0.0000, 0.0000, 0.0000), Mn at (0.0000, 0.0000, 0.5000) and F at (0.0000, 0.0000, 0.2436).

The formation energy without anion corrections comes out at -3.26 eV per atom.


(2)
The following is a PBEsol calculation of an optimized crystal structure of CuReP2, from Alexandria via LeMat-Bulk.

It has space group Pmmm (No. 47), with a = 3.0284 Å, b = 4.0585 Å, c = 4.5710 Å, α = 90.00°, β = 90.00° and γ = 90.00°. The distinct sites, in fractional coordinates, are Cu at (0.0000, 0.0000, 0.0000), Re at (0.5000, 0.0000, 0.5000) and P at (0.5000, 0.5000, 0.2336).

The formation energy is 0.255 eV per atom. As for the polymorph energy (0 for the lowest one): 1.05 eV per formula unit.


(3)
The following is a PBEsol calculation of an optimized crystal structure of MgIn3, from Alexandria via LeMat-Bulk.

It has space group P6_3/mmc (No. 194), with a = 6.4299 Å, b = 6.4299 Å, c = 5.3882 Å, α = 90.00°, β = 90.00° and γ = 120.00°. The distinct sites, in fractional coordinates, are Mg at (0.3333, 0.6667, 0.2500) and In at (0.1675, 0.3351, 0.7500).

The formation energy is -0.048 eV per atom.


(4)
The following is a PBEsol calculation of an optimized crystal structure of YRhAu, from Alexandria via LeMat-Bulk.

It has space group F-43m (No. 216), with a = 6.3543 Å, b = 6.3543 Å, c = 6.3543 Å, α = 90.00°, β = 90.00° and γ = 90.00°. The distinct sites, in fractional coordinates, are Y at (0.0000, 0.0000, 0.0000), Rh at (0.2500, 0.2500, 0.7500) and Au at (0.0000, 0.0000, 0.5000).

The formation energy is -0.435 eV per atom.


(5)
The following is a PBEsol calculation of an optimized crystal structure of ScPbBr2, from Alexandria via LeMat-Bulk.

It has space group I-4m2 (No. 119), with a = 4.2346 Å, b = 4.2346 Å, c = 11.3349 Å, α = 90.00°, β = 90.00° and γ = 90.00°. The distinct sites, in fractional coordinates, are Sc at (0.0000, 0.0000, 0.0000), Pb at (0.0000, 0.5000, 0.7500), Br at (0.0000, 0.0000, 0.5000) and Br at (0.0000, 0.5000, 0.2500).

The formation energy without anion corrections comes out at -0.45 eV per atom. As for the polymorph energy (0 for the lowest one): 0.46 eV per formula unit.


(6)
The following is a PBEsol calculation of an optimized crystal structure of KMgNi2Te, from Alexandria via LeMat-Bulk.

It has space group P4/mmm (No. 123), with a = 4.7498 Å, b = 4.7498 Å, c = 5.4817 Å, α = 90.00°, β = 90.00° and γ = 90.00°. The distinct sites, in fractional coordinates, are K at (0.0000, 0.0000, 0.0000), Mg at (0.5000, 0.5000, 0.0000), Ni at (0.0000, 0.5000, 0.5000) and Te at (0.5000, 0.5000, 0.5000).

The formation energy without anion corrections comes out at 0.49 eV per atom.


(7)
The following is a PBEsol calculation of an optimized crystal structure of Al17Zn12, from Alexandria via LeMat-Bulk.

It has space group I-43m (No. 217), with a = 9.7902 Å, b = 9.7902 Å, c = 9.7902 Å, α = 90.00°, β = 90.00° and γ = 90.00°. The distinct sites, in fractional coordinates, are Al at (0.0000, 0.0000, 0.0000), Al at (0.0484, 0.3599, 0.6401), Al at (0.1658, 0.1658, 0.1658) and Zn at (0.0946, 0.0946, 0.7146).

The formation energy is 0.040 eV per atom.


(8)
The following is a PBEsol calculation of an optimized crystal structure of ErBi, from Alexandria via LeMat-Bulk.

It has space group Fm-3m (No. 225), with a = 6.1786 Å, b = 6.1786 Å, c = 6.1786 Å, α = 90.00°, β = 90.00° and γ = 90.00°. The distinct sites, in fractional coordinates, are Er at (0.0000, 0.0000, 0.0000) and Bi at (0.0000, 0.0000, 0.5000).

The formation energy is -0.850 eV per atom.


(9)
The following is a PBEsol calculation of an optimized crystal structure of SrAlSe2, from Alexandria via LeMat-Bulk.

It has space group Pm (No. 6), with a = 4.0799 Å, b = 4.1101 Å, c = 6.2715 Å, α = 90.00°, β = 106.73° and γ = 90.00°. The distinct sites, in fractional coordinates, are Sr at (0.0000, 0.0000, 0.0000), Al at (0.6376, 0.5000, 0.5239), Se at (0.2963, 0.0000, 0.5873) and Se at (0.5585, 0.5000, 0.1325).

The formation energy without anion corrections comes out at -1.19 eV per atom.


(10)
The following is a PBEsol calculation of an optimized crystal structure of NbInO4, from Alexandria via LeMat-Bulk.

It has space group P2/c (No. 13), with a = 4.8715 Å, b = 5.8222 Å, c = 5.1649 Å, α = 90.00°, β = 90.85° and γ = 90.00°. The distinct sites, in fractional coordinates, are Nb at (0.0000, 0.1791, 0.2500), In at (0.5000, 0.3191, 0.7500), O at (0.2158, 0.1013, 0.9366) and O at (0.2609, 0.3832, 0.4028).

The formation energy without anion corrections comes out at -2.18 eV per atom.


(11)
The following is a PBEsol calculation of an optimized crystal structure of Zr2Mo, from Alexandria via LeMat-Bulk.

It has space group C2/m (No. 12), with a = 10.6814 Å, b = 3.3477 Å, c = 3.3515 Å, α = 90.00°, β = 104.23° and γ = 90.00°. The distinct sites, in fractional coordinates, are Zr at (0.1512, 0.0000, 0.1685) and Mo at (0.0000, 0.5000, 0.5000).

The formation energy is 0.016 eV per atom. As for the polymorph energy (0 for the lowest one): 0.03 eV per formula unit.


(12)
The following is a PBEsol calculation of an optimized crystal structure of LaMg4, from Alexandria via LeMat-Bulk.

It has space group I4/m (No. 87), with a = 7.0428 Å, b = 7.0428 Å, c = 5.1530 Å, α = 90.00°, β = 90.00° and γ = 90.00°. The distinct sites, in fractional coordinates, are La at (0.0000, 0.0000, 0.0000) and Mg at (0.0488, 0.3016, 0.5000).

The formation energy is -0.049 eV per atom.


(13)
The following is a PBEsol calculation of an optimized crystal structure of KLaRuF2, from Alexandria via LeMat-Bulk.

It has space group P4/mmm (No. 123), with a = 4.7908 Å, b = 4.7908 Å, c = 5.0475 Å, α = 90.00°, β = 90.00° and γ = 90.00°. The distinct sites, in fractional coordinates, are K at (0.0000, 0.0000, 0.0000), La at (0.5000, 0.5000, 0.5000), Ru at (0.5000, 0.5000, 0.0000) and F at (0.0000, 0.5000, 0.5000).

The formation energy without anion corrections comes out at -1.43 eV per atom.


(14)
The following is a PBEsol calculation of an optimized crystal structure of CaW3Cl, from Alexandria via LeMat-Bulk.

It has space group Pm-3m (No. 221), with a = 4.6889 Å, b = 4.6889 Å, c = 4.6889 Å, α = 90.00°, β = 90.00° and γ = 90.00°. The distinct sites, in fractional coordinates, are Ca at (0.0000, 0.0000, 0.0000), W at (0.0000, 0.0000, 0.5000) and Cl at (0.5000, 0.5000, 0.5000).

The formation energy without anion corrections comes out at 3.65 eV per atom.


(15)
The following is a PBEsol calculation of an optimized crystal structure of MgSi2Os, from Alexandria via LeMat-Bulk.

It has space group F-43m (No. 216), with a = 6.0841 Å, b = 6.0841 Å, c = 6.0841 Å, α = 90.00°, β = 90.00° and γ = 90.00°. The distinct sites, in fractional coordinates, are Mg at (0.0000, 0.0000, 0.0000), Si at (0.0000, 0.0000, 0.5000), Si at (0.2500, 0.2500, 0.2500) and Os at (0.2500, 0.2500, 0.7500).

The formation energy without anion corrections comes out at 0.31 eV per atom.


(16)
The following is a PBEsol calculation of an optimized crystal structure of HfHgBiOs2, from Alexandria via LeMat-Bulk.

It has space group P4/mmm (No. 123), with a = 4.8946 Å, b = 4.8946 Å, c = 5.1026 Å, α = 90.00°, β = 90.00° and γ = 90.00°. The distinct sites, in fractional coordinates, are Hf at (0.0000, 0.0000, 0.0000), Hg at (0.5000, 0.5000, 0.5000), Bi at (0.5000, 0.5000, 0.0000) and Os at (0.0000, 0.5000, 0.5000).

The formation energy is 2.307 eV per atom.


(17)
The following is a PBEsol calculation of an optimized crystal structure of Y6NiI10, from Alexandria via LeMat-Bulk.

It has space group P-1 (No. 2), with a = 7.4952 Å, b = 9.4100 Å, c = 9.4267 Å, α = 107.17°, β = 96.91° and γ = 104.74°. The distinct sites, in fractional coordinates, are Y at (0.0316, 0.2150, 0.4145), Y at (0.1143, 0.5400, 0.2594), Y at (0.3473, 0.6231, 0.6638), Ni at (0.0000, 0.5000, 0.5000), I at (0.0874, 0.8750, 0.3144), I at (0.2237, 0.2379, 0.1465), I at (0.2655, 0.5901, 0.9677), I at (0.3585, 0.9586, 0.7759) and I at (0.4522, 0.3091, 0.5950).

The formation energy without anion corrections comes out at -1.22 eV per atom.


(18)
The following is a PBEsol calculation of an optimized crystal structure of Y2HgCl, from Alexandria via LeMat-Bulk.

It has space group Cmmm (No. 65), with a = 3.7600 Å, b = 5.6650 Å, c = 9.1063 Å, α = 90.00°, β = 90.00° and γ = 90.00°. The distinct sites, in fractional coordinates, are Y at (0.0000, 0.0000, 0.2419), Hg at (0.0000, 0.5000, 0.5000) and Cl at (0.0000, 0.5000, 0.0000).

The formation energy without anion corrections comes out at -0.74 eV per atom. As for the polymorph energy (0 for the lowest one): 0.03 eV per formula unit.


(19)
The following is a PBEsol calculation of an optimized crystal structure of CaIr2Cl, from Alexandria via LeMat-Bulk.

It has space group Pmm2 (No. 25), with a = 2.9702 Å, b = 3.7594 Å, c = 7.2737 Å, α = 90.00°, β = 90.00° and γ = 90.00°. The distinct sites, in fractional coordinates, are Ca at (0.0000, 0.0000, 0.0000), Ir at (0.0000, 0.0000, 0.6006), Ir at (0.5000, 0.5000, 0.7057) and Cl at (0.5000, 0.5000, 0.1899).

The formation energy without anion corrections comes out at -0.31 eV per atom. As for the polymorph energy (0 for the lowest one): 0.00 eV per formula unit.


(20)
The following is a PBEsol calculation of an optimized crystal structure of Tl2SbMo, from Alexandria via LeMat-Bulk.

It has space group I4/mmm (No. 139), with a = 4.1809 Å, b = 4.1809 Å, c = 10.6739 Å, α = 90.00°, β = 90.00° and γ = 90.00°. The distinct sites, in fractional coordinates, are Tl at (0.0000, 0.5000, 0.2500), Sb at (0.0000, 0.0000, 0.0000) and Mo at (0.0000, 0.0000, 0.5000).

The formation energy without anion corrections comes out at 0.74 eV per atom. As for the polymorph energy (0 for the lowest one): 1.72 eV per formula unit.